# 1
The following is a PBE-GGA calculation of an optimized crystal structure of CsHoTlO3, from Alexandria via LeMat-Bulk.

POSCAR file:
```
CsHoTlO3
1.0
-3.374 0.351 1.069
-1.684 -11.761 -1.453
2.384 2.101 6.831
Cs Ho O Tl
2 2 6 2
direct
0.250 0.321 0.281
0.750 0.679 0.719
0.250 0.624 0.155
0.750 0.376 0.845
0.750 0.740 0.130
0.750 0.505 0.166
0.250 0.779 0.489
0.750 0.221 0.511
0.250 0.260 0.870
0.250 0.495 0.834
0.750 0.882 0.436
0.250 0.118 0.564
```

---

# 2
The following is a PBE-GGA calculation of an optimized crystal structure of Cs2HoTlO4, from Alexandria via LeMat-Bulk.

POSCAR file:
```
Cs2HoTlO4
1.0
6.468 0.001 -0.003
-0.001 6.469 -0.003
-3.231 -3.233 4.549
O Tl Cs Ho
4 1 2 1
direct
0.356 0.746 0.224
0.726 0.604 0.720
0.994 0.116 0.720
0.868 0.477 0.223
0.736 0.736 0.472
0.486 0.986 0.972
0.236 0.236 0.472
0.986 0.486 0.972
```

---

# 3
The following is a PBE-GGA calculation of an optimized crystal structure of Cs3HoU2O9, from Alexandria via LeMat-Bulk.

POSCAR file:
```
Cs3HoU2O9
1.0
6.236 0.000 0.000
-3.118 5.400 0.000
0.000 0.000 7.633
Ho U O Cs
1 2 9 3
direct
0.000 0.000 0.500
0.333 0.667 0.167
0.667 0.333 0.833
0.353 0.176 0.679
0.000 0.500 0.000
0.647 0.824 0.321
0.500 0.000 0.000
0.824 0.647 0.679
0.176 0.353 0.321
0.824 0.176 0.679
0.176 0.824 0.321
0.500 0.500 0.000
0.667 0.333 0.337
0.333 0.667 0.663
0.000 0.000 0.000
```

---

# 4
The following is a PBE-GGA calculation of an optimized crystal structure of Cs4HoU3O12, from Alexandria via LeMat-Bulk.

POSCAR file:
```
Cs4HoU3O12
1.0
7.638 0.000 0.000
-2.546 7.201 0.000
-2.546 -3.601 6.237
Ho O Cs U
1 12 4 3
direct
0.000 0.000 0.000
0.500 0.250 0.750
0.732 0.732 0.000
0.000 0.732 0.732
0.268 0.000 0.268
0.500 0.750 0.250
0.250 0.500 0.750
0.250 0.750 0.500
0.750 0.500 0.250
0.732 0.000 0.732
0.750 0.250 0.500
0.268 0.268 0.000
0.000 0.268 0.268
0.000 0.500 0.000
0.000 0.000 0.500
0.500 0.000 0.000
0.500 0.500 0.500
0.500 0.000 0.500
0.500 0.500 0.000
0.000 0.500 0.500
```

---

The records above give, respectively, M_tot values of 0.000; 0.000; 0.000; 1.003 Bohr magnetons per cell.
The records above give, respectively, raw formation energy values of -1962.7; -1791.5; -2801.2; -2818.0 meV/atom.
The records above give, respectively, DFT total energy values of -5.74; -5.35; -7.76; -7.89 eV per atom.